(1)
# Sr2LiSnS

A relaxed structure of Sr2LiSnS (PBE, Alexandria via LeMat-Bulk).

## Properties
Volume: 153 Å³/cell
VASP energy: -3.73 eV per atom
Formation energy from raw total energies: -1.049 eV per atom

Unit cell a=5.8612 b=5.8612 c=4.4408 alpha=90.00 beta=90.00 gamma=90.00
Closest atoms and distances in Å follow each position.
Fractional coordinates of all 5 atoms:
S1 0.0000 0.0000 0.0000  2 Li 2.22
Sr1 0.5000 0.0000 0.0000  2 S 2.93
Sr2 0.0000 0.5000 0.0000  2 S 2.93
Sn1 0.5000 0.5000 0.5000  8 Sr 3.68
Li1 0.0000 0.0000 0.5000  2 S 2.22



(2)
# Li3Tb3SnS8

A relaxed structure of Li3Tb3SnS8 (PBE, Alexandria via LeMat-Bulk).

## Properties
Volume: 327 Å³/cell
VASP energy: -5.31 eV per atom
Formation energy from raw total energies: -1.535 eV per atom

Unit cell a=7.8187 b=7.8177 c=7.6510 alpha=120.75 beta=90.00 gamma=120.00
Closest atoms and distances in Å follow each position.
Fractional coordinates of all 15 atoms:
Sn1 0.0000 0.0000 0.5000  6 S 2.61
Li1 0.0000 0.5000 0.0000  6 S 2.70-2.74
Li2 0.5000 0.5000 0.0000  6 S 2.70-2.74
Li3 0.0000 0.0000 0.0000  6 S 2.70-2.74
S1 0.7495 0.4991 0.7484  3 Tb 2.73, 3 Li 2.74
S2 0.7678 0.0063 0.7446  1 Sn 2.61, 2 Li 2.70, 2 Tb 2.77
S3 0.2322 0.9937 0.2554  1 Sn 2.61, 2 Li 2.70, 2 Tb 2.77
S4 0.2385 0.0063 0.7446  1 Sn 2.61, 2 Li 2.70, 2 Tb 2.77
S5 0.7615 0.9937 0.2554  1 Sn 2.61, 2 Li 2.70, 2 Tb 2.77
S6 0.7614 0.5229 0.2553  1 Sn 2.61, 2 Li 2.70, 2 Tb 2.77
S7 0.2386 0.4771 0.7447  1 Sn 2.61, 2 Li 2.70, 2 Tb 2.77
S8 0.2505 0.5009 0.2516  3 Tb 2.73, 3 Li 2.74
Tb1 0.5000 0.0000 0.5000  6 S 2.73-2.77
Tb2 0.5000 0.5000 0.5000  6 S 2.73-2.77
Tb3 0.0000 0.5000 0.5000  6 S 2.73-2.77



(3)
# Li4Tb3SnS8

A relaxed structure of Li4Tb3SnS8 (PBE, Alexandria via LeMat-Bulk).

## Properties
Volume: 329 Å³/cell
VASP energy: -5.22 eV per atom
Formation energy from raw total energies: -1.555 eV per atom

Unit cell a=7.8418 b=7.6597 c=7.8412 alpha=120.80 beta=120.00 gamma=90.00
Closest atoms and distances in Å follow each position.
Fractional coordinates of all 16 atoms:
S1 0.2465 0.2488 0.9976  3 Li 2.73-2.75, 1 Sn 2.73, 2 Tb 2.75
S2 0.7510 0.2487 0.5021  1 Sn 2.73, 3 Li 2.73-2.75, 2 Tb 2.75
S3 0.2494 0.2485 0.4989  3 Li 2.73-2.74, 3 Tb 2.75
S4 0.7510 0.2488 0.9976  3 Li 2.73-2.75, 1 Sn 2.73, 2 Tb 2.75
S5 0.2490 0.7512 0.0024  3 Li 2.73-2.75, 1 Sn 2.73, 2 Tb 2.75
S6 0.2490 0.7513 0.4979  1 Sn 2.73, 3 Li 2.73-2.75, 2 Tb 2.75
S7 0.7506 0.7515 0.5011  3 Li 2.73-2.74, 3 Tb 2.75
S8 0.7535 0.7512 0.0024  3 Li 2.73-2.75, 1 Sn 2.73, 2 Tb 2.75
Tb1 0.5000 0.5000 0.0000  6 S 2.75
Tb2 0.0000 0.5000 0.5000  6 S 2.75
Tb3 0.5000 0.5000 0.5000  6 S 2.75
Sn1 0.0000 0.5000 0.0000  6 S 2.73
Li1 0.5000 0.0000 0.0000  6 S 2.75
Li2 0.5000 0.0000 0.5000  6 S 2.73-2.74
Li3 0.0000 0.0000 0.5000  6 S 2.73-2.74
Li4 0.0000 0.0000 0.0000  6 S 2.73



(4)
# LiSnTeS4

A relaxed structure of LiSnTeS4 (PBE, Alexandria via LeMat-Bulk).

## Properties
Volume: 337 Å³/cell
VASP energy: -4.02 eV per atom
Formation energy from raw total energies: -0.368 eV per atom

Unit cell a=7.6742 b=7.7984 c=7.7984 alpha=61.73 beta=60.53 gamma=60.53
Closest atoms and distances in Å follow each position.
Fractional coordinates of all 14 atoms:
Te1 0.0000 0.0000 0.0000  6 S 2.67-2.71
Te2 0.0000 0.5000 0.5000  6 S 2.67-2.71
Li1 0.6362 0.6138 0.1138  4 S 2.49-2.51
Li2 0.3638 0.3862 0.8862  4 S 2.49-2.51
S1 0.2433 0.2430 0.2704  1 Li 2.49, 1 Te 2.67, 2 Sn 2.69
S2 0.2433 0.7704 0.7430  1 Li 2.49, 1 Te 2.67, 2 Sn 2.69
S3 0.7601 0.7514 0.2514  1 Li 2.51, 2 Te 2.71, 1 Sn 2.73
S4 0.7567 0.2296 0.2570  1 Li 2.49, 1 Te 2.67, 2 Sn 2.69
S5 0.7630 0.2486 0.7486  1 Li 2.51, 2 Te 2.71, 1 Sn 2.73
S6 0.7567 0.7570 0.7296  1 Li 2.49, 1 Te 2.67, 2 Sn 2.69
S7 0.2399 0.2486 0.7486  1 Li 2.51, 2 Te 2.71, 1 Sn 2.73
S8 0.2370 0.7514 0.2514  1 Li 2.51, 2 Te 2.71, 1 Sn 2.73
Sn1 0.5000 0.0000 0.5000  6 S 2.69-2.73
Sn2 0.0000 0.0000 0.5000  6 S 2.69-2.73



(5)
# LiSnTe2S6

A relaxed structure of LiSnTe2S6 (PBE, Alexandria via LeMat-Bulk).

## Properties
Volume: 266 Å³/cell
VASP energy: -3.90 eV per atom
Formation energy from raw total energies: -0.201 eV per atom

Unit cell a=6.9587 b=6.8556 c=7.3759 alpha=92.90 beta=115.60 gamma=117.91
Closest atoms and distances in Å follow each position.
Fractional coordinates of all 10 atoms:
Sn1 0.9667 0.9892 0.9562  6 S 2.67-2.80
S1 0.0369 0.3753 0.1507  1 Te 2.45, 1 Sn 2.67, 1 Li 2.72
S2 0.4559 0.1109 0.1597  1 Te 2.40
S3 0.0527 0.1961 0.6579  1 Te 2.41, 1 Li 2.62
S4 0.8803 0.7441 0.2182  1 Te 2.46, 1 Sn 2.70, 1 Li 2.74
S5 0.4851 0.8757 0.7102  1 Te 2.44, 1 Li 2.60, 1 Sn 2.70
S6 0.7876 0.6107 0.6406  1 Te 2.41, 1 Li 2.59
Li1 0.0202 0.5153 0.4917  5 S 2.59-2.74
Te1 0.5897 0.2378 0.9146  3 S 2.40-2.45
Te2 0.6904 0.8226 0.4028  3 S 2.41-2.46



(6)
# Li2ThSnS4

A relaxed structure of Li2ThSnS4 (PBE, Alexandria via LeMat-Bulk).

## Properties
Volume: 179 Å³/cell
VASP energy: -5.27 eV per atom
Formation energy from raw total energies: -1.305 eV per atom

Unit cell a=4.0845 b=6.5508 c=7.1292 alpha=69.72 beta=90.00 gamma=90.00
Closest atoms and distances in Å follow each position.
Fractional coordinates of all 8 atoms:
Sn1 0.5000 0.5000 0.0000  6 S 2.88-2.89
Li1 0.0000 0.0000 0.0000  6 S 2.84-2.87
Li2 0.5000 0.0000 0.5000  6 S 2.73-2.77
S1 0.5000 0.7548 0.2582  3 Li 2.73-2.84, 2 Th 2.82, 1 Sn 2.88
S2 0.0000 0.2440 0.2655  1 Th 2.75, 3 Li 2.77-2.87, 2 Sn 2.89
S3 0.5000 0.2452 0.7418  3 Li 2.73-2.84, 2 Th 2.82, 1 Sn 2.88
S4 0.0000 0.7560 0.7345  1 Th 2.75, 3 Li 2.77-2.87, 2 Sn 2.89
Th1 0.0000 0.5000 0.5000  6 S 2.75-2.82



(7)
# LiTiSn2S5

A relaxed structure of LiTiSn2S5 (PBE, Alexandria via LeMat-Bulk).

## Properties
Volume: 386 Å³/cell
VASP energy: -5.06 eV per atom
Formation energy from raw total energies: -0.789 eV per atom

Unit cell a=3.6402 b=8.2164 c=13.2439 alpha=90.00 beta=90.00 gamma=102.80
Closest atoms and distances in Å follow each position.
Fractional coordinates of all 18 atoms:
Sn1 0.9114 0.8229 0.1453  6 S 2.61-2.90
Sn2 0.0886 0.1771 0.6453  6 S 2.61-2.90
Sn3 0.1178 0.2355 0.2686  3 S 2.65-2.80
Sn4 0.8822 0.7645 0.7686  3 S 2.65-2.80
S1 0.2522 0.5043 0.6631  2 Ti 2.60, 1 Sn 2.63
S2 0.6168 0.2336 0.5081  1 Ti 2.49, 2 Sn 2.61
S3 0.7478 0.4957 0.1631  2 Ti 2.60, 1 Sn 2.63
S4 0.4853 0.9706 0.2766  1 Li 2.48
S5 0.2828 0.5657 0.4106  2 Ti 2.38, 1 Li 2.49
S6 0.5147 0.0294 0.7766  1 Li 2.48
S7 0.7172 0.4343 0.9106  2 Ti 2.38, 1 Li 2.49
S8 0.0826 0.1653 0.0732  1 Ti 2.43, 2 Li 2.43, 1 Sn 2.65
S9 0.3832 0.7664 0.0081  1 Ti 2.49, 2 Sn 2.61
S10 0.9174 0.8347 0.5732  1 Ti 2.43, 2 Li 2.43, 1 Sn 2.65
Ti1 0.7713 0.5426 0.5249  6 S 2.38-2.60
Ti2 0.2287 0.4574 0.0249  6 S 2.38-2.60
Li1 0.4338 0.8676 0.4535  4 S 2.43-2.49
Li2 0.5662 0.1324 0.9535  4 S 2.43-2.49



(8)
# LiTiSnS4

A relaxed structure of LiTiSnS4 (PBE, Alexandria via LeMat-Bulk).

## Properties
Volume: 295 Å³/cell
VASP energy: -5.32 eV per atom
Formation energy from raw total energies: -0.993 eV per atom

Unit cell a=7.2079 b=7.5081 c=7.5081 alpha=60.81 beta=61.31 gamma=61.31
Closest atoms and distances in Å follow each position.
Fractional coordinates of all 14 atoms:
S1 0.2443 0.7798 0.7316  1 Li 2.47, 2 Ti 2.49, 1 Sn 2.63
S2 0.7557 0.2202 0.2684  1 Li 2.47, 2 Ti 2.49, 1 Sn 2.63
S3 0.2776 0.2263 0.7263  1 Ti 2.44, 1 Li 2.44, 2 Sn 2.65
S4 0.7557 0.7684 0.7202  1 Li 2.47, 2 Ti 2.49, 1 Sn 2.63
S5 0.2443 0.2316 0.2798  1 Li 2.47, 2 Ti 2.49, 1 Sn 2.63
S6 0.7698 0.2263 0.7263  1 Ti 2.44, 1 Li 2.44, 2 Sn 2.65
S7 0.2302 0.7737 0.2737  1 Ti 2.44, 1 Li 2.44, 2 Sn 2.65
S8 0.7224 0.7737 0.2737  1 Ti 2.44, 1 Li 2.44, 2 Sn 2.65
Li1 0.6315 0.6185 0.1185  4 S 2.44-2.47
Li2 0.3685 0.3815 0.8815  4 S 2.44-2.47
Ti1 0.5000 0.0000 0.5000  6 S 2.44-2.49
Ti2 0.0000 0.0000 0.5000  6 S 2.44-2.49
Sn1 0.0000 0.5000 0.5000  6 S 2.63-2.65
Sn2 0.0000 0.0000 0.0000  6 S 2.63-2.65



(9)
# LiTlSnS2

A relaxed structure of LiTlSnS2 (PBE, Alexandria via LeMat-Bulk).

## Properties
Volume: 264 Å³/cell
VASP energy: -3.95 eV per atom
Formation energy from raw total energies: -0.644 eV per atom

Unit cell a=3.9787 b=7.8618 c=8.9685 alpha=76.74 beta=90.00 gamma=104.66
Closest atoms and distances in Å follow each position.
Fractional coordinates of all 10 atoms:
S1 0.3416 0.6832 0.6352  1 Li 2.42, 2 Sn 2.63
S2 0.1347 0.2693 0.0134  3 Li 2.40-2.44, 1 Sn 2.57
S3 0.6584 0.3168 0.3648  1 Li 2.42, 2 Sn 2.63
S4 0.8653 0.7307 0.9866  3 Li 2.40-2.44, 1 Sn 2.57
Li1 0.2983 0.5966 0.9133  4 S 2.40-2.44
Li2 0.7017 0.4034 0.0867  4 S 2.40-2.44
Sn1 0.9402 0.8804 0.6974  3 S 2.57-2.63
Sn2 0.0598 0.1196 0.3026  3 S 2.57-2.63
Tl1 0.3519 0.7038 0.2605  5 S 3.13-3.49, 1 Li 3.40
Tl2 0.6481 0.2962 0.7395  5 S 3.13-3.49, 1 Li 3.40



(10)
# LiTl2SnS4

A relaxed structure of LiTl2SnS4 (PBE, Alexandria via LeMat-Bulk).

## Properties
Volume: 217 Å³/cell
VASP energy: -3.87 eV per atom
Formation energy from raw total energies: -0.478 eV per atom

Unit cell a=7.0425 b=7.0430 c=6.6306 alpha=122.11 beta=122.10 gamma=89.97
Closest atoms and distances in Å follow each position.
Fractional coordinates of all 8 atoms:
Tl1 0.2358 0.2359 0.4720  4 S 3.24-3.25
Tl2 0.4860 0.9860 0.9721  4 S 2.86
Sn1 0.7359 0.7359 0.4717  4 S 2.42
S1 0.3631 0.7687 0.1711  1 Sn 2.42, 1 Li 2.50
S2 0.7030 0.6636 0.7720  1 Sn 2.42, 1 Li 2.50
S3 0.0693 0.1086 0.7721  1 Sn 2.42, 1 Li 2.50
S4 0.8079 0.4024 0.1710  1 Sn 2.42, 1 Li 2.50
Li1 0.9859 0.4860 0.9720  4 S 2.50



(11)
# LiTlSnS3

A relaxed structure of LiTlSnS3 (PBE, Alexandria via LeMat-Bulk).

## Properties
Volume: 308 Å³/cell
VASP energy: -4.01 eV per atom
Formation energy from raw total energies: -0.569 eV per atom

Unit cell a=6.8133 b=6.8475 c=7.4352 alpha=117.42 beta=90.00 gamma=90.00
Closest atoms and distances in Å follow each position.
Fractional coordinates of all 12 atoms:
S1 0.7500 0.7592 0.5184  1 Sn 2.38, 1 Li 2.44
S2 0.5000 0.2488 0.0000  2 Sn 2.54, 2 Li 2.61
S3 0.5000 0.7512 0.0000  2 Sn 2.54, 2 Li 2.61
S4 0.2500 0.2408 0.4816  1 Sn 2.38, 1 Li 2.44
S5 0.0000 0.2488 0.0000  2 Sn 2.54, 2 Li 2.61
S6 0.0000 0.7512 0.0000  2 Sn 2.54, 2 Li 2.61
Tl1 0.7500 0.2492 0.4985  4 S 3.41-3.43
Tl2 0.2500 0.7508 0.5015  4 S 3.41-3.43
Sn1 0.7500 0.9393 0.8786  5 S 2.38-2.54
Sn2 0.2500 0.0607 0.1214  5 S 2.38-2.54
Li1 0.2500 0.4257 0.8514  5 S 2.44-2.61
Li2 0.7500 0.5743 0.1486  5 S 2.44-2.61



(12)
# Li4Tm3SnS8

A relaxed structure of Li4Tm3SnS8 (PBE, Alexandria via LeMat-Bulk).

## Properties
Volume: 319 Å³/cell
VASP energy: -5.20 eV per atom
Formation energy from raw total energies: -1.568 eV per atom

Unit cell a=7.7309 b=7.6108 c=7.7300 alpha=120.54 beta=120.00 gamma=90.00
Closest atoms and distances in Å follow each position.
Fractional coordinates of all 16 atoms:
S1 0.2507 0.2522 0.5013  3 Tm 2.70, 3 Li 2.72
S2 0.7484 0.7486 0.9986  2 Tm 2.70, 3 Li 2.71-2.72, 1 Sn 2.71
S3 0.2502 0.7486 0.5005  2 Tm 2.70, 3 Li 2.71-2.72, 1 Sn 2.71
S4 0.7493 0.7478 0.4987  3 Tm 2.70, 3 Li 2.72
S5 0.2502 0.7486 0.9986  2 Tm 2.70, 3 Li 2.71-2.72, 1 Sn 2.71
S6 0.7498 0.2514 0.0014  2 Tm 2.70, 3 Li 2.71-2.72, 1 Sn 2.71
S7 0.7498 0.2514 0.4995  2 Tm 2.70, 3 Li 2.71-2.72, 1 Sn 2.71
S8 0.2516 0.2514 0.0014  2 Tm 2.70, 3 Li 2.71-2.72, 1 Sn 2.71
Sn1 0.0000 0.5000 0.0000  6 S 2.71
Tm1 0.5000 0.5000 0.0000  6 S 2.70
Tm2 0.0000 0.5000 0.5000  6 S 2.70
Tm3 0.5000 0.5000 0.5000  6 S 2.70
Li1 0.5000 0.0000 0.5000  6 S 2.72
Li2 0.0000 0.0000 0.0000  6 S 2.72
Li3 0.5000 0.0000 0.0000  6 S 2.71
Li4 0.0000 0.0000 0.5000  6 S 2.72